(1)
Below is a geometry-optimized Pm5Ho4In4 structure, with properties calculated at the PBE level.

formation energy from the elements	-312.2	meV/atom
total magnetic moment	0.0	μB per cell
Fermi-level density of states	28.623	states/eV per cell
crystal system	tetragonal

Lattice parameters (Å, degrees): 12.4435 12.4435 5.0940 90.00 90.00 90.00
Space group I4/m (No. 87)
Symmetry-distinct sites (fractional):
Pm (0.0000, 0.0000, 0.0000)
Pm (0.0991, 0.8090, 0.5000)
Ho (0.0951, 0.6053, 0.0000)
In (0.1030, 0.2374, 0.0000)

=====

(2)
Below is a geometry-optimized PmHo2In4 structure, with properties calculated at the PBE level.

energy above the most stable polymorph in this dataset	0.00	eV/f.u.
formation energy from the elements	-434.9	meV/atom
total magnetic moment	0.0	μB per cell
Fermi-level density of states	8.986	states/eV per cell
crystal system	tetragonal

Lattice parameters (Å, degrees): 7.6190 7.6190 6.6587 90.00 90.00 90.00
Space group I4/mmm (No. 139)
Symmetry-distinct sites (fractional):
Pm (0.0000, 0.0000, 0.0000)
Ho (0.0000, 0.5000, 0.2500)
In (0.1981, 0.1981, 0.5000)

=====

(3)
Below is a geometry-optimized PmHo4In3 structure, with properties calculated at the PBE level.

energy above the most stable polymorph in this dataset	0.74	eV/f.u.
formation energy from the elements	-216.2	meV/atom
total magnetic moment	1.1	μB per cell
Fermi-level density of states	16.377	states/eV per cell
crystal system	orthorhombic

Lattice parameters (Å, degrees): 3.4831 8.7697 15.2838 90.00 90.00 90.00
Space group Immm (No. 71)
Symmetry-distinct sites (fractional):
Pm (0.0000, 0.0000, 0.0000)
Ho (0.0000, 0.3024, 0.1408)
In (0.0000, 0.0000, 0.5000)
In (0.0000, 0.5000, 0.3137)

=====

(4)
Below is a geometry-optimized PmHo4In structure, with properties calculated at the PBE level.

energy above the most stable polymorph in this dataset	0.13	eV/f.u.
formation energy from the elements	-125.8	meV/atom
total magnetic moment	0.0	μB per cell
Fermi-level density of states	16.905	states/eV per cell
crystal system	orthorhombic

Lattice parameters (Å, degrees): 5.4860 6.8199 9.6254 90.00 90.00 90.00
Space group Pmmn (No. 59, origin choice 2)
Symmetry-distinct sites (fractional):
Pm (0.2500, 0.2500, 0.0728)
Ho (0.2500, 0.2500, 0.4189)
Ho (0.2500, 0.5044, 0.7438)
Ho (0.2500, 0.7500, 0.1107)
In (0.2500, 0.7500, 0.4305)

=====

(5)
Below is a geometry-optimized PmHoIn4 structure, with properties calculated at the PBE level.

energy above the most stable polymorph in this dataset	0.78	eV/f.u.
formation energy from the elements	-284.3	meV/atom
total magnetic moment	1.4	μB per cell
Fermi-level density of states	8.864	states/eV per cell
crystal system	orthorhombic

Lattice parameters (Å, degrees): 4.9502 5.2966 12.2426 90.00 90.00 90.00
Space group Cmmm (No. 65)
Symmetry-distinct sites (fractional):
Pm (0.0000, 0.0000, 0.0000)
Ho (0.0000, 0.5000, 0.5000)
In (0.0000, 0.0000, 0.3300)
In (0.0000, 0.5000, 0.1791)

=====

(6)
Below is a geometry-optimized PmHoIn4 structure, with properties calculated at the PBE level.

energy above the most stable polymorph in this dataset	0.00	eV/f.u.
formation energy from the elements	-414.4	meV/atom
total magnetic moment	0.0	μB per cell
Fermi-level density of states	6.198	states/eV per cell
crystal system	orthorhombic

Lattice parameters (Å, degrees): 5.0238 7.1137 8.7354 90.00 90.00 90.00
Space group Immm (No. 71)
Symmetry-distinct sites (fractional):
Pm (0.0000, 0.0000, 0.0000)
Ho (0.0000, 0.5000, 0.0000)
In (0.0000, 0.2355, 0.3336)

=====

(7)
Below is a geometry-optimized Pm5Ho2In4 structure, with properties calculated at the PBE level.

energy above the most stable polymorph in this dataset	0.00	eV/f.u.
formation energy from the elements	-284.2	meV/atom
total magnetic moment	0.1	μB per cell
Fermi-level density of states	12.693	states/eV per cell
crystal system	monoclinic

Lattice parameters (Å, degrees): 8.7555 3.4378 10.6982 90.00 95.50 90.00
Space group P2/m (No. 10)
Symmetry-distinct sites (fractional):
Pm (0.0000, 0.0000, 0.0000)
Pm (0.0386, 0.0000, 0.3347)
Pm (0.3412, 0.0000, 0.8587)
Ho (0.4181, 0.0000, 0.3619)
In (0.2574, 0.5000, 0.5760)
In (0.2997, 0.5000, 0.1239)

=====

(8)
Below is a geometry-optimized PmHo3In3 structure, with properties calculated at the PBE level.

energy above the most stable polymorph in this dataset	0.29	eV/f.u.
formation energy from the elements	-314.7	meV/atom
total magnetic moment	0.0	μB per cell
Fermi-level density of states	26.732	states/eV per cell
crystal system	cubic

Lattice parameters (Å, degrees): 9.3287 9.3287 9.3287 90.00 90.00 90.00
Space group P2_13 (No. 198)
Symmetry-distinct sites (fractional):
Pm (0.0512, 0.4488, 0.5512)
Ho (0.1138, 0.6138, 0.8862)
Ho (0.1686, 0.1686, 0.1686)
Ho (0.1981, 0.8019, 0.3019)
In (0.0055, 0.7959, 0.6018)

=====

(9)
Below is a geometry-optimized Pm2HoIn structure, with properties calculated at the PBE level.

energy above the most stable polymorph in this dataset	0.59	eV/f.u.
formation energy from the elements	-121.8	meV/atom
total magnetic moment	1.4	μB per cell
Fermi-level density of states	16.450	states/eV per cell
crystal system	trigonal

Lattice parameters (Å, degrees): 3.6638 3.6638 32.9099 90.00 90.00 120.00
Space group R3m (No. 160, hexagonal axes)
Symmetry-distinct sites (fractional):
Pm (0.0000, 0.0000, 0.0000)
Pm (0.0000, 0.0000, 0.1759)
Ho (0.0000, 0.0000, 0.4213)
In (0.0000, 0.0000, 0.5876)

=====

(10)
Below is a geometry-optimized Pm2Ho8In structure, with properties calculated at the PBE level.

energy above the most stable polymorph in this dataset	0.73	eV/f.u.
formation energy from the elements	6.2	meV/atom
total magnetic moment	0.0	μB per cell
Fermi-level density of states	26.980	states/eV per cell
crystal system	orthorhombic

Lattice parameters (Å, degrees): 5.4172 7.5671 17.1095 90.00 90.00 90.00
Space group Immm (No. 71)
Symmetry-distinct sites (fractional):
Pm (0.0000, 0.0000, 0.1936)
Ho (0.0000, 0.2406, 0.0000)
Ho (0.0000, 0.2695, 0.3631)
Ho (0.0000, 0.5000, 0.1788)
In (0.0000, 0.0000, 0.5000)

=====

(11)
Below is a geometry-optimized Pm6HoIn4 structure, with properties calculated at the PBE level.

formation energy from the elements	-205.3	meV/atom
total magnetic moment	1.9	μB per cell
Fermi-level density of states	22.289	states/eV per cell
crystal system	tetragonal

Lattice parameters (Å, degrees): 6.5239 6.5239 17.0509 90.00 90.00 90.00
Space group I-42m (No. 121)
Symmetry-distinct sites (fractional):
Pm (0.0000, 0.5000, 0.0000)
Pm (0.2350, 0.2350, 0.3207)
Ho (0.0000, 0.0000, 0.0000)
In (0.2380, 0.2380, 0.1339)

=====

(12)
Below is a geometry-optimized Pm3HoIn12 structure, with properties calculated at the PBE level.

formation energy from the elements	-444.7	meV/atom
total magnetic moment	0.0	μB per cell
Fermi-level density of states	9.770	states/eV per cell
crystal system	tetragonal

Lattice parameters (Å, degrees): 4.6776 4.6776 18.7881 90.00 90.00 90.00
Space group P4/mmm (No. 123)
Symmetry-distinct sites (fractional):
Pm (0.0000, 0.0000, 0.0000)
Pm (0.0000, 0.0000, 0.2521)
Ho (0.0000, 0.0000, 0.5000)
In (0.0000, 0.5000, 0.1260)
In (0.0000, 0.5000, 0.3779)
In (0.5000, 0.5000, 0.0000)
In (0.5000, 0.5000, 0.2508)
In (0.5000, 0.5000, 0.5000)